No. 1
Here is a relaxed BaLa2CdTc crystal from Alexandria via LeMat-Bulk. Energies are from PBE.

Cell and atoms, written as POSCAR:
```
BaLa2CdTc
1.0
5.944 0.000 0.000
0.000 6.250 0.000
0.000 0.000 5.944
Ba La Cd Tc
1 2 1 1
direct
0.000 0.500 0.000 Ba
0.000 0.000 0.500 La
0.500 0.000 0.000 La
0.000 0.000 0.000 Cd
0.500 0.500 0.500 Tc
```

Computed properties:
Symmetry   No. 123
ΔE_f   109.5 kJ/mol of atoms
Relative energy among the computed polymorphs   1140 meV per atom

***

No. 2
Here is a relaxed Ba2LaCdTe5 crystal from Alexandria via LeMat-Bulk. Energies are from PBE.

Cell and atoms, written as POSCAR:
```
Ba2LaCdTe5
1.0
-2.500 -3.741 -1.361
9.536 -1.921 -4.118
3.735 -6.796 11.820
Te Ba Cd La
10 4 2 2
direct
0.706 0.412 0.170 Te
0.309 0.618 0.358 Te
0.294 0.588 0.670 Te
0.359 0.719 0.008 Te
0.496 0.991 0.765 Te
0.952 0.904 0.557 Te
0.504 0.009 0.265 Te
0.641 0.281 0.508 Te
0.048 0.096 0.057 Te
0.691 0.382 0.858 Te
0.885 0.769 0.188 Ba
0.115 0.231 0.688 Ba
0.874 0.748 0.821 Ba
0.126 0.252 0.321 Ba
0.442 0.885 0.442 Cd
0.558 0.115 0.942 Cd
0.794 0.588 0.515 La
0.206 0.412 0.015 La
```

Computed properties:
Symmetry   No. 36
E_form (uncorrected)   -123.29 kJ/mol of atoms

***

No. 3
Here is a relaxed BaLa2Tl2Cd2 crystal from Alexandria via LeMat-Bulk. Energies are from PBE.

Cell and atoms, written as POSCAR:
```
BaLa2Tl2Cd2
1.0
5.099 0.000 0.000
2.550 4.416 0.000
2.550 1.472 10.071
Tl Cd Ba La
2 2 1 2
direct
0.260 0.260 0.220 Tl
0.740 0.740 0.780 Tl
0.567 0.567 0.300 Cd
0.433 0.433 0.700 Cd
0.000 0.000 0.000 Ba
0.858 0.858 0.425 La
0.142 0.142 0.575 La
```

Computed properties:
Symmetry   No. 166
ΔE_f   -28.3 kJ/mol of atoms

***

No. 4
Here is a relaxed BaLaTlCd crystal from Alexandria via LeMat-Bulk. Energies are from PBE.

Cell and atoms, written as POSCAR:
```
BaLaTlCd
1.0
-5.183 2.610 -0.325
-4.172 -1.338 3.819
-1.572 3.855 4.056
La Ba Tl Cd
1 1 1 1
direct
0.500 0.500 0.500 La
0.000 0.000 0.000 Ba
0.250 0.250 0.250 Tl
0.750 0.750 0.750 Cd
```

Computed properties:
Symmetry   No. 216
ΔE_f   -30.1 kJ/mol of atoms

***

No. 5
Here is a relaxed BaLa2VCd crystal from Alexandria via LeMat-Bulk. Energies are from PBE.

Cell and atoms, written as POSCAR:
```
BaLa2VCd
1.0
5.450 0.000 0.000
0.000 5.987 0.000
0.000 0.000 5.450
La Ba V Cd
2 1 1 1
direct
0.500 0.000 0.000 La
0.000 0.000 0.500 La
0.000 0.500 0.000 Ba
0.000 0.000 0.000 V
0.500 0.500 0.500 Cd
```

Computed properties:
Symmetry   No. 123
ΔE_f   40.2 kJ/mol of atoms

***

No. 6
Here is a relaxed BaLaZnCd crystal from Alexandria via LeMat-Bulk. Energies are from PBE.

Cell and atoms, written as POSCAR:
```
BaLaZnCd
1.0
5.673 0.000 0.000
2.837 4.913 0.000
2.837 1.638 4.632
Cd La Zn Ba
1 1 1 1
direct
0.750 0.750 0.750 Cd
0.500 0.500 0.500 La
0.250 0.250 0.250 Zn
0.000 0.000 0.000 Ba
```

Computed properties:
Symmetry   No. 216
ΔE_f   -19.1 kJ/mol of atoms

***

No. 7
Here is a relaxed BaLaZnCd2 crystal from Alexandria via LeMat-Bulk. Energies are from PBE.

Cell and atoms, written as POSCAR:
```
BaLaZnCd2
1.0
6.204 0.000 0.000
0.000 6.323 0.000
0.000 0.000 6.204
Cd Ba Zn La
2 1 1 1
direct
0.000 0.000 0.500 Cd
0.500 0.000 0.000 Cd
0.000 0.000 0.000 Ba
0.500 0.500 0.500 Zn
0.000 0.500 0.000 La
```

Computed properties:
Symmetry   No. 123
ΔE_f   89.8 kJ/mol of atoms

***

No. 8
Here is a relaxed BaLa2ZrCd crystal from Alexandria via LeMat-Bulk. Energies are from PBE.

Cell and atoms, written as POSCAR:
```
BaLa2ZrCd
1.0
-1.079 -5.773 1.281
6.107 -1.029 0.506
-0.258 1.347 5.853
Zr La Cd Ba
1 2 1 1
direct
0.500 0.500 0.500 Zr
0.500 0.000 0.000 La
0.000 0.000 0.500 La
0.000 0.000 0.000 Cd
0.000 0.500 0.000 Ba
```

Computed properties:
Symmetry   No. 123
ΔE_f   77.4 kJ/mol of atoms

***

Number 1: N(E_F) 8.82 states/eV/cell, total moment 0.35 μB per atom. Number 2: N(E_F) 13.78 states/eV/cell, total moment 0.00 μB per atom. Number 3: N(E_F) 1.66 states/eV/cell, total moment 0.00 μB per atom. Number 4: N(E_F) 3.57 states/eV/cell, total moment 0.00 μB per atom. Number 5: N(E_F) 7.53 states/eV/cell, total moment 0.15 μB per atom. Number 6: N(E_F) 2.47 states/eV/cell, total moment 0.00 μB per atom. Number 7: N(E_F) 5.46 states/eV/cell, total moment 0.00 μB per atom. Number 8: N(E_F) 11.32 states/eV/cell, total moment 0.75 μB per atom.